# 1
Density functional theory data (GGA-PBE) for a relaxed structure of PmDyAg5.

Cell: 5.057 5.057 6.562 Å, 90.00 90.00 90.00°
Positions (direct):
Pm 0.000 0.000 0.500
Dy 0.500 0.500 0.000
Ag 0.000 0.500 0.766
Ag 0.000 0.500 0.234
Ag 0.500 0.000 0.766
Ag 0.500 0.000 0.234
Ag 0.500 0.500 0.500

Output
D(E_F) in states/eV per atom: 0.50
Energy relative to the elements in eV per atom: -0.059

---

# 2
Density functional theory data (GGA-PBE) for a relaxed structure of PmDy3Ag.

Cell: 6.749 6.749 8.573 Å, 88.90 120.25 112.61°
Positions (direct):
Pm 0.684 0.054 0.738
Pm 0.316 0.946 0.262
Dy 0.735 0.914 0.151
Dy 0.237 0.416 0.151
Dy 0.763 0.584 0.849
Dy 0.816 0.441 0.257
Dy 0.265 0.086 0.849
Dy 0.184 0.559 0.743
Ag 0.761 0.740 0.501
Ag 0.239 0.260 0.499

Output
D(E_F) in states/eV per atom: 1.09
Energy relative to the elements in eV per atom: 0.008

---

# 3
Density functional theory data (GGA-PBE) for a relaxed structure of PmDy5Ag6.

Cell: 5.185 7.244 8.210 Å, 90.00 71.48 90.00°
Positions (direct):
Pm 0.000 0.000 0.000
Ag 0.831 0.746 0.338
Ag 0.831 0.254 0.338
Ag 0.500 0.257 0.000
Ag 0.500 0.743 0.000
Ag 0.169 0.746 0.662
Ag 0.169 0.254 0.662
Dy 0.666 0.500 0.668
Dy 0.332 0.000 0.335
Dy 0.000 0.500 0.000
Dy 0.668 0.000 0.665
Dy 0.334 0.500 0.332

Output
D(E_F) in states/eV per atom: 0.51
Energy relative to the elements in eV per atom: -0.313

---

# 4
Density functional theory data (GGA-PBE) for a relaxed structure of PmDyAg3.

Cell: 4.998 9.290 11.287 Å, 115.62 90.00 90.00°
Positions (direct):
Pm 0.250 0.534 0.409
Pm 0.750 0.466 0.591
Pm 0.250 0.034 0.909
Pm 0.750 0.966 0.091
Dy 0.750 0.597 0.151
Dy 0.250 0.903 0.349
Dy 0.250 0.403 0.849
Dy 0.750 0.097 0.651
Ag 0.250 0.250 0.546
Ag 0.250 0.750 0.046
Ag 0.750 0.341 0.255
Ag 0.250 0.159 0.245
Ag 0.250 0.659 0.745
Ag 0.750 0.750 0.454
Ag 0.750 0.117 0.388
Ag 0.250 0.883 0.612
Ag 0.750 0.250 0.954
Ag 0.750 0.841 0.755
Ag 0.750 0.617 0.888
Ag 0.250 0.383 0.112

Output
D(E_F) in states/eV per atom: 0.55
Energy relative to the elements in eV per atom: -0.232

---

# 5
Density functional theory data (GGA-PBE) for a relaxed structure of PmDy4Ag.

Cell: 5.433 6.479 10.844 Å, 90.00 104.51 90.00°
Positions (direct):
Pm 0.865 0.718 0.730
Pm 0.135 0.218 0.270
Dy 0.933 0.211 0.867
Dy 0.067 0.711 0.133
Dy 0.466 0.873 0.932
Dy 0.534 0.373 0.068
Dy 0.675 0.576 0.351
Dy 0.325 0.076 0.649
Dy 0.742 0.090 0.485
Dy 0.258 0.590 0.515
Ag 0.602 0.966 0.205
Ag 0.398 0.466 0.795

Output
D(E_F) in states/eV per atom: 1.52
Energy relative to the elements in eV per atom: 0.054

---

# 6
Density functional theory data (GGA-PBE) for a relaxed structure of Pm3Dy4Ag4.

Cell: 5.048 7.625 9.179 Å, 114.54 105.96 90.00°
Positions (direct):
Pm 0.106 0.106 0.211
Pm 0.894 0.894 0.789
Pm 0.000 0.500 0.000
Dy 0.325 0.105 0.650
Dy 0.675 0.455 0.350
Dy 0.675 0.895 0.350
Dy 0.325 0.545 0.650
Ag 0.200 0.700 0.399
Ag 0.800 0.300 0.601
Ag 0.500 0.814 0.000
Ag 0.500 0.186 0.000

Output
D(E_F) in states/eV per atom: 0.95
Energy relative to the elements in eV per atom: -0.117

---

# 7
Density functional theory data (GGA-PBE) for a relaxed structure of Pm2Dy2Ag3.

Cell: 5.128 5.135 8.948 Å, 90.07 106.63 119.95°
Positions (direct):
Pm 0.252 0.126 0.380
Pm 0.748 0.874 0.620
Dy 0.751 0.376 0.128
Dy 0.249 0.624 0.872
Ag 0.000 0.000 0.000
Ag 0.506 0.253 0.758
Ag 0.494 0.747 0.242

Output
D(E_F) in states/eV per atom: 1.14
Energy relative to the elements in eV per atom: -0.142

---

# 8
Density functional theory data (GGA-PBE) for a relaxed structure of PmDy6Ag.

Cell: 9.336 8.438 6.292 Å, 47.85 42.10 56.41°
Positions (direct):
Pm 0.500 0.500 0.500
Dy 0.046 0.429 0.762
Dy 0.763 0.954 0.712
Dy 0.571 0.237 0.146
Dy 0.237 0.046 0.288
Dy 0.954 0.571 0.238
Dy 0.429 0.763 0.854
Ag 0.000 0.000 0.000

Output
D(E_F) in states/eV per atom: 1.20
Energy relative to the elements in eV per atom: 0.043